V2GeB: optimized geometry, PBE.

Values from the calculation:
- E_form: -289 meV/atom
- E_tot: -7.672 eV/atom

The structure in CIF format:
```
data_V2GeB
_chemical_formula_sum 'V2 Ge1 B1'
_cell_length_a 3.021
_cell_length_b 3.021
_cell_length_c 6.601
_cell_angle_alpha 76.77
_cell_angle_beta 76.77
_cell_angle_gamma 60.00
_symmetry_space_group_name_H-M 'P 1'
_symmetry_Int_Tables_number 1
loop_
_symmetry_equiv_pos_as_xyz
'x,y,z'
loop_
_atom_site_label
_atom_site_type_symbol
_atom_site_fract_x
_atom_site_fract_y
_atom_site_fract_z
_atom_site_occupancy
Ge1 Ge 0.500 0.500 0.500 1
B1 B 0.000 0.000 0.000 1
V1 V 0.727 0.727 0.819 1
V2 V 0.273 0.273 0.181 1
```